{"formula": "NiPt3O6", "functional": "PBE+U", "state": "optimized geometry", "dft_energy_ev_per_atom": -5.6525, "magnetic_moment_mub_per_fu": 2.0, "lattice_angstrom": [[-2.060, -0.410, -2.426], [4.511, -2.450, -3.415], [-2.762, -4.548, 3.114]], "species": ["Ni", "O", "O", "O", "O", "O", "O", "Pt", "Pt", "Pt"], "fractional_positions": [[0.000, 0.500, 0.500], [0.000, 0.916, 0.662], [0.000, 0.084, 0.338], [0.000, 0.662, 0.916], [0.000, 0.338, 0.084], [0.500, 0.354, 0.646], [0.500, 0.646, 0.354], [0.500, 0.500, 0.000], [0.000, 0.000, 0.000], [0.500, 0.000, 0.500]]}